Version A
# LaNdTl

LaNdTl after structural relaxation (PBE, Alexandria via LeMat-Bulk).

Lattice parameters (Å, degrees): 5.6183 5.6183 6.9966 90.00 90.00 120.00
Closest atoms and distances in Å follow each position.
Space group P6_3/mmc (No. 194)
Unique sites:
La (0.0000, 0.0000, 0.0000)  2 La 3.50, 6 Tl 3.69, 6 Nd 3.69
Nd (0.3333, 0.6667, 0.2500)  5 Tl 3.24-3.50
Tl (0.3333, 0.6667, 0.7500)  5 Nd 3.24-3.50

***

Version B
# LaNdTl

LaNdTl after structural relaxation (PBE, Alexandria via LeMat-Bulk).

Lattice parameters (Å, degrees): 11.2032 11.5197 3.8362 90.00 90.00 90.00
Closest atoms and distances in Å follow each position.
Space group Cmmm (No. 65)
Unique sites:
La (0.0000, 0.2234, 0.0000)  3 Tl 3.19-3.21
Nd (0.2224, 0.5000, 0.5000)  3 Tl 3.11-3.14
Tl (0.0000, 0.0000, 0.5000)  2 Nd 3.11, 4 La 3.21
Tl (0.0000, 0.5000, 0.0000)  4 Nd 3.14, 2 La 3.19

***

Version C
# LaNdTl

LaNdTl after structural relaxation (PBE, Alexandria via LeMat-Bulk).

Lattice parameters (Å, degrees): 7.6321 7.6321 7.6321 90.00 90.00 90.00
Closest atoms and distances in Å follow each position.
Space group F-43m (No. 216)
Unique sites:
La (0.0000, 0.0000, 0.0000)  4 Tl 3.30
Nd (0.0000, 0.0000, 0.5000)  4 Tl 3.30
Tl (0.2500, 0.2500, 0.7500)  4 La 3.30, 4 Nd 3.30

***

Version D
# LaNdTl

LaNdTl after structural relaxation (PBE, Alexandria via LeMat-Bulk).

Lattice parameters (Å, degrees): 5.3654 5.3654 3.8685 90.00 90.00 120.00
Closest atoms and distances in Å follow each position.
Space group P3m1 (No. 156)
Unique sites:
La (0.0000, 0.0000, 0.0000)  3 Tl 3.39, 3 Nd 3.48
Nd (0.6667, 0.3333, 0.4092)  3 Tl 3.23, 3 La 3.48
Tl (0.3333, 0.6667, 0.6462)  3 Nd 3.23, 3 La 3.39

***

Stability check: which of them is least stable? version B.

***

Version A
# La5Nd4Tl

La5Nd4Tl after structural relaxation (PBE, Alexandria via LeMat-Bulk).

Lattice parameters (Å, degrees): 4.3226 4.3226 18.7367 90.00 90.00 90.00
Closest atoms and distances in Å follow each position.
Space group P4/mmm (No. 123)
Unique sites:
La (0.0000, 0.0000, 0.0000)  8 Nd 3.61, 2 La 3.77
La (0.0000, 0.0000, 0.2013)  8 Nd 3.57-3.61, 2 La 3.77-3.96
La (0.0000, 0.0000, 0.4128)  1 La 3.27, 4 Tl 3.47
Nd (0.5000, 0.5000, 0.1026)  8 La 3.57-3.61, 2 Nd 3.77-3.84
Nd (0.5000, 0.5000, 0.3035)  8 La 3.61-3.68, 1 Tl 3.68, 1 Nd 3.77
Tl (0.5000, 0.5000, 0.5000)  8 La 3.47, 2 Nd 3.68

***

Version B
# La5Nd4Tl

La5Nd4Tl after structural relaxation (PBE, Alexandria via LeMat-Bulk).

Lattice parameters (Å, degrees): 10.6666 10.6666 6.3057 90.00 90.00 90.00
Closest atoms and distances in Å follow each position.
Space group I4 (No. 79)
Unique sites:
La (0.0000, 0.0000, 0.0000)  2 Tl 3.03-3.27, 4 La 3.31
La (0.1890, 0.1902, 0.7366)  1 Tl 3.28, 3 La 3.31-3.64, 2 Nd 3.31
Nd (0.0006, 0.3148, 0.2294)  3 La 3.31-3.66
Tl (0.0000, 0.0000, 0.4809)  6 La 3.03-3.28

***

Stability check: which of them is least stable? version B.

***

Version A
# La3Nd2Tl4

La3Nd2Tl4 after structural relaxation (PBE, Alexandria via LeMat-Bulk).

Lattice parameters (Å, degrees): 9.5695 5.5160 10.7309 90.00 90.12 90.00
Closest atoms and distances in Å follow each position.
Space group C2/m (No. 12)
Unique sites:
La (0.0000, 0.0000, 0.0000)  8 Tl 3.37-3.70
La (0.1673, 0.5000, 0.5753)  4 Tl 3.30-3.45, 3 La 3.57-3.58
Nd (0.1662, 0.5000, 0.2167)  7 Tl 3.41-3.47
Tl (0.0006, 0.0000, 0.6552)  3 La 3.30, 1 Tl 3.33, 3 Nd 3.47
Tl (0.1670, 0.5000, 0.8966)  4 La 3.37-3.45, 4 Nd 3.41-3.43

***

Version B
# La3Nd2Tl4

La3Nd2Tl4 after structural relaxation (PBE, Alexandria via LeMat-Bulk).

Lattice parameters (Å, degrees): 12.6274 5.1245 10.5415 90.00 121.66 90.00
Closest atoms and distances in Å follow each position.
Space group C2/m (No. 12)
Unique sites:
La (0.0000, 0.0000, 0.0000)  4 Tl 3.42, 4 Nd 3.79
La (0.1446, 0.5000, 0.6919)  7 Tl 3.33-3.72, 3 Nd 3.68
Nd (0.1480, 0.5000, 0.3113)  4 Tl 3.13-3.36
Tl (0.0570, 0.0000, 0.3966)  3 Nd 3.13-3.36, 1 Tl 3.18, 2 La 3.38
Tl (0.1931, 0.5000, 0.0347)  2 Tl 3.20, 1 Nd 3.25, 5 La 3.33-3.59

***

Stability check: which of them is least stable? version B.